#a
DFT (PBE) results for NbTlB3 after structural relaxation.

POSCAR file:
```
NbTlB3
1.0
4.328 0.000 0.000
0.000 4.328 0.000
0.000 0.000 4.328
B Nb Tl
3 1 1
Cartesian
0.000 0.000 2.164
0.000 2.164 0.000
2.164 0.000 0.000
2.164 2.164 2.164
0.000 0.000 0.000
```

**Space-group type**: Pm-3m (221)

=====

#b
DFT (PBE) results for NbTlB3 after structural relaxation.

POSCAR file:
```
NbTlB3
1.0
-1.741 3.193 -2.540
0.912 -2.387 -3.626
-3.977 -1.945 0.280
Tl B Nb
1 3 1
Cartesian
-2.403 -0.570 -2.943
-1.989 -0.972 0.140
0.456 -1.194 -1.813
-0.870 1.597 -1.270
0.000 0.000 0.000
```

**Space-group type**: Pm-3m (221)

=====

Stability check: which of them is most stable? #b.

=====

#a
DFT (PBE) results for Nb2TlB after structural relaxation.

POSCAR file:
```
Nb2TlB
1.0
-1.585 -1.852 -6.476
6.531 -2.051 -1.012
1.786 -4.595 -2.820
Nb Tl B
4 2 2
Cartesian
3.568 -5.027 -4.981
4.240 -2.768 -2.518
0.363 -2.457 -4.509
5.293 -6.744 -8.610
0.000 0.000 0.000
1.337 -4.199 -6.521
5.395 -4.299 -3.788
2.473 -1.952 -3.744
```

**Space-group type**: I-42d (122)

=====

#b
DFT (PBE) results for Nb2TlB after structural relaxation.

POSCAR file:
```
Nb2TlB
1.0
-4.003 -1.522 1.533
-1.352 1.011 4.224
-3.439 2.905 0.654
Nb B Tl
2 1 1
Cartesian
-6.595 1.795 4.808
-2.198 0.598 1.603
0.000 0.000 0.000
-4.397 1.197 3.205
```

**Space-group type**: Fm-3m (225)

=====

Stability check: which of them is most stable? #a.